Nb2HgAu2 after structural relaxation. Source: Alexandria, functional PBE-GGA.

Computed properties:
magnetization = 0.000 μB per atom
relative energy among the computed polymorphs = 5 meV per atom
symmetry = No. 127
energy relative to the elements = 0.98 eV per formula unit

Structure (CIF):
```
data_Nb2HgAu2
_space_group_name_H-M_alt 'P 1'
_space_group_IT_number 1
_space_group_name_Hall 'P 1'
_cell_length_a 8.228
_cell_length_b 8.228
_cell_length_c 2.936
_cell_angle_alpha 90.00
_cell_angle_beta 90.00
_cell_angle_gamma 90.00
loop_
_atom_site_label
_atom_site_type_symbol
_atom_site_fract_x
_atom_site_fract_y
_atom_site_fract_z
Nb1 Nb 0.122 0.378 0.000
Nb2 Nb 0.378 0.878 0.000
Nb3 Nb 0.622 0.122 0.000
Nb4 Nb 0.878 0.622 0.000
Hg1 Hg 0.000 0.000 0.000
Hg2 Hg 0.500 0.500 0.000
Au1 Au 0.169 0.669 0.500
Au2 Au 0.331 0.169 0.500
Au3 Au 0.669 0.831 0.500
Au4 Au 0.831 0.331 0.500
```

=====

NbHgAu3 after structural relaxation. Source: Alexandria, functional PBE-GGA.

Computed properties:
magnetization = 0.000 μB per atom
relative energy among the computed polymorphs = 0 meV per atom
symmetry = No. 221
energy relative to the elements = 4.26 eV per formula unit

Structure (CIF):
```
data_NbHgAu3
_space_group_name_H-M_alt 'P 1'
_space_group_IT_number 1
_space_group_name_Hall 'P 1'
_cell_length_a 5.199
_cell_length_b 5.199
_cell_length_c 5.199
_cell_angle_alpha 90.00
_cell_angle_beta 90.00
_cell_angle_gamma 90.00
loop_
_atom_site_label
_atom_site_type_symbol
_atom_site_fract_x
_atom_site_fract_y
_atom_site_fract_z
Nb1 Nb 0.000 0.000 0.000
Hg1 Hg 0.500 0.500 0.500
Au1 Au 0.000 0.000 0.500
Au2 Au 0.000 0.500 0.000
Au3 Au 0.500 0.000 0.000
```